[1]
DFT (PBE) results for a relaxed structure of K2CaH2F2.

```
data_K2CaH2F2
_symmetry_space_group_name_H-M 'I 4/m m m'
_symmetry_Int_Tables_number 139
_symmetry_space_group_name_Hall '-I 4 2'
_cell_length_a 4.3726
_cell_length_b 4.3726
_cell_length_c 13.8193
_cell_angle_alpha 90.00
_cell_angle_beta 90.00
_cell_angle_gamma 90.00
loop_
_atom_site_label
_atom_site_fract_x
_atom_site_fract_y
_atom_site_fract_z
_atom_site_occupancy
K1 0.0000 0.0000 0.1506 1
Ca1 0.0000 0.0000 0.5000 1
H1 0.0000 0.5000 0.0000 1
F1 0.0000 0.0000 0.3371 1
```

[2]
DFT (PBE) results for a relaxed structure of Cd7Rh6.

```
data_Cd7Rh6
_symmetry_space_group_name_H-M 'R -3 m'
_symmetry_Int_Tables_number 166
_symmetry_space_group_name_Hall '-R 3 2"'
_cell_length_a 5.4535
_cell_length_b 5.4535
_cell_length_c 27.2791
_cell_angle_alpha 90.00
_cell_angle_beta 90.00
_cell_angle_gamma 120.00
loop_
_atom_site_label
_atom_site_fract_x
_atom_site_fract_y
_atom_site_fract_z
_atom_site_occupancy
Cd1 0.0000 0.0000 0.0000 1
Cd2 0.0051 0.5026 0.4157 1
Rh1 0.0000 0.0000 0.1663 1
Rh2 0.0000 0.0000 0.3514 1
Rh3 0.0000 0.0000 0.4545 1
```

Values from the calculation:
Formation energy (eV per atom): 0.32

[3]
DFT (PBE) results for a relaxed structure of HoGaAs.

```
data_HoGaAs
_symmetry_space_group_name_H-M 'C 1 2/m 1'
_symmetry_Int_Tables_number 12
_cell_length_a 11.2542
_cell_length_b 4.0047
_cell_length_c 6.7693
_cell_angle_alpha 90.00
_cell_angle_beta 113.69
_cell_angle_gamma 90.00
loop_
_symmetry_equiv_pos_as_xyz
'x,y,z'
'-x,-y,-z'
'-x,y,-z'
'x,-y,z'
'x+1/2,y+1/2,z'
'-x+1/2,-y+1/2,-z'
'-x+1/2,y+1/2,-z'
'x+1/2,-y+1/2,z'
loop_
_atom_site_label
_atom_site_fract_x
_atom_site_fract_y
_atom_site_fract_z
_atom_site_occupancy
Ho1 0.0924 0.0000 0.2901 1
Ga1 0.1208 0.5000 0.6382 1
As1 0.1151 0.5000 0.0045 1
```

Values from the calculation:
Formation energy (eV per atom): -0.60

[4]
DFT (PBE) results for a relaxed structure of NaTiSb2.

```
data_NaTiSb2
_symmetry_space_group_name_H-M 'P 4/m m m'
_symmetry_Int_Tables_number 123
_symmetry_space_group_name_Hall '-P 4 2'
_cell_length_a 3.3300
_cell_length_b 3.3300
_cell_length_c 8.5251
_cell_angle_alpha 90.00
_cell_angle_beta 90.00
_cell_angle_gamma 90.00
loop_
_atom_site_label
_atom_site_fract_x
_atom_site_fract_y
_atom_site_fract_z
_atom_site_occupancy
Na1 0.0000 0.0000 0.0000 1
Ti1 0.0000 0.0000 0.5000 1
Sb1 0.5000 0.5000 0.2866 1
```

Values from the calculation:
ΔE to the lowest computed polymorph (kcal/mol of atoms): 0.69
E_form (uncorrected) (eV/atom): -0.300

| no. | total energy (eV/atom) | total magnetic moment (μB per cell) |
| --- | --- | --- |
| 1 | -3.869 | 0.0 |
| 2 | -3.566 | 10.4 |
| 3 | -4.681 | 0.0 |
| 4 | -4.665 | 0.6 |